Material: Mg8GaHg2
Method: DFT, GGA-PBE
State: relaxed

The structure in extended XYZ format:
```
11
Lattice="4.7080 0.0000 0.0000 0.0000 6.9219 -0.0436 -2.3540 -3.0294 7.3233" Properties=species:S:1:pos:R:3 pbc="T T T"
Mg 0.0000 5.2496 0.2848
Mg 0.0000 0.6800 2.6960
Mg 2.3540 5.4385 2.3839
Mg 2.3540 2.4809 1.4075
Mg 0.0000 -1.5460 4.8958
Mg 0.0000 1.4117 5.8722
Mg 2.3540 3.2126 4.5837
Mg 2.3540 -1.3570 6.9949
Hg 0.0000 3.5715 2.6440
Hg 2.3540 0.3211 4.6357
Ga 2.3540 0.0000 0.0000
```

- final energy (eV for the cell shown) = -17.8
- formation energy (kcal/mol of atoms) = -2.940
- magnetic moment (μB per formula unit) = 0.000

=====

Material: Mg4Ga3Hg
Method: DFT, GGA-PBE
State: relaxed

The structure in extended XYZ format:
```
16
Lattice="-2.0376 3.6704 2.2680 -5.5676 -3.9746 1.4303 4.0822 -2.7797 8.1660" Properties=species:S:1:pos:R:3 pbc="T T T"
Ga -0.7434 -2.2325 7.9763
Ga 2.0411 -1.3899 4.0830
Ga 2.0402 -0.2449 7.2614
Ga -2.7796 -0.8514 3.8879
Ga 0.0000 0.0000 0.0000
Ga 0.0044 1.1356 3.1726
Hg -2.7838 -1.9873 0.7151
Hg -0.7427 -3.3771 4.7981
Mg -2.3862 1.9925 4.6593
Mg -1.1368 -5.0764 7.2049
Mg -2.3901 0.8562 1.4863
Mg -5.2150 -1.1604 2.2120
Mg -3.1740 -2.5503 6.2950
Mg -5.2110 -0.0240 5.3850
Mg 1.6880 -3.0598 6.4792
Mg -0.3490 -0.5336 5.5693
```

- final energy (eV for the cell shown) = -34.0
- formation energy (kcal/mol of atoms) = -3.524
- magnetic moment (μB per formula unit) = 0.000

=====

Material: MgGa3Hg2
Method: DFT, GGA-PBE
State: relaxed

The structure in extended XYZ format:
```
12
Lattice="-2.6568 -1.7773 5.4048 -0.8785 -5.3167 -3.2233 5.8736 -2.4585 2.2191" Properties=species:S:1:pos:R:3 pbc="T T T"
Hg 2.1514 -7.6723 4.6768
Hg 0.1869 -1.8802 -0.2762
Hg 2.7539 -2.3735 2.6272
Hg -0.4156 -7.1789 1.7734
Ga -0.0981 -4.8527 3.8289
Ga 2.4364 -4.6998 0.5717
Ga 3.4714 -7.3412 1.8686
Ga -1.1331 -2.2112 2.5320
Ga 2.5544 -5.2253 3.1586
Ga -0.2161 -4.3272 1.2420
Mg 0.3214 -5.3968 -1.3655
Mg 2.0169 -4.1556 5.7661
```

- final energy (eV for the cell shown) = -22.6
- formation energy (kcal/mol of atoms) = -0.107
- magnetic moment (μB per formula unit) = 0.000

=====

Material: Mg10Ga3Hg3
Method: DFT, GGA-PBE
State: relaxed

The structure in extended XYZ format:
```
16
Lattice="5.8911 0.0000 0.0000 0.0000 7.0883 -4.0924 0.0000 0.0000 8.1848" Properties=species:S:1:pos:R:3 pbc="T T T"
Mg 4.3774 4.7255 0.0000
Mg 4.3774 2.3627 4.0924
Mg 2.9456 1.7664 1.0198
Mg 0.0000 5.4060 3.1212
Mg 0.0000 1.6823 -0.9713
Mg 2.9456 5.3219 -3.0726
Mg 0.0000 0.0000 1.9425
Mg 1.5138 4.7255 0.0000
Mg 1.5138 2.3627 4.0924
Mg 2.9456 0.0000 6.1452
Hg 0.0000 4.2597 -2.4594
Hg 0.0000 2.8285 1.6330
Hg 0.0000 0.0000 4.9187
Ga 2.9456 4.3328 2.5016
Ga 2.9456 2.7554 -1.5908
Ga 2.9456 0.0000 3.1817
```

- final energy (eV for the cell shown) = -28.6
- formation energy (kcal/mol of atoms) = -3.888
- magnetic moment (μB per formula unit) = 0.000

=====

Material: Mg2Ga2Hg5
Method: DFT, GGA-PBE
State: relaxed

The structure in extended XYZ format:
```
18
Lattice="-6.8533 0.5799 3.3956 -3.3053 -2.4289 -6.2563 2.2460 -5.7341 5.5123" Properties=species:S:1:pos:R:3 pbc="T T T"
Hg -7.7991 -3.0856 -0.5682
Hg -2.0218 -2.7183 -0.9355
Hg -3.0721 -5.6014 0.7387
Hg -4.9803 -3.8222 -3.4166
Hg -0.1135 -4.4975 3.2199
Hg -2.9323 -3.7608 6.0682
Hg -5.8909 -4.8648 3.5871
Hg -5.0793 -0.9245 -1.4304
Hg 0.0000 0.0000 0.0000
Hg -4.8406 -1.9817 1.9129
Mg -2.8918 -0.1419 0.3061
Mg -7.2669 -1.7071 -3.1669
Mg -7.0276 -0.3731 0.6616
Mg -3.1310 -1.4759 -3.5223
Ga -4.8440 -3.6807 -0.4846
Ga 0.2353 -2.7562 0.9457
Ga -3.0687 -3.9024 3.1363
Ga -1.2947 -5.4068 -1.6897
```

- final energy (eV for the cell shown) = -21.7
- formation energy (kcal/mol of atoms) = -0.303
- magnetic moment (μB per formula unit) = 0.000

=====

Material: Mg8Ga3Hg3
Method: DFT, GGA-PBE
State: relaxed

The structure in extended XYZ format:
```
14
Lattice="6.4309 -1.6313 2.5517 0.2811 6.2454 3.9984 4.0144 -0.5220 9.7693" Properties=species:S:1:pos:R:3 pbc="T T T"
Mg 2.0172 2.8867 4.0883
Mg 4.3718 4.7584 7.9194
Mg 8.7092 1.2055 12.2310
Mg 4.8541 2.9032 5.3988
Mg 7.7905 3.8196 10.1347
Mg 6.3546 -0.6662 8.3999
Mg 2.9359 0.2726 6.1846
Mg 5.8723 1.1890 10.9206
Ga 3.2154 -0.8156 1.2758
Ga 9.9292 -1.2964 11.5315
Ga 0.7972 5.3886 4.7879
Hg 4.7889 3.9221 10.9087
Hg 5.9375 0.1701 5.4106
Hg 5.3632 2.0461 8.1597
```

- final energy (eV for the cell shown) = -23.4
- formation energy (kcal/mol of atoms) = -1.098
- magnetic moment (μB per formula unit) = 0.000

=====

Material: MgGaHg2
Method: DFT, GGA-PBE
State: relaxed

The structure in extended XYZ format:
```
4
Lattice="3.9660 0.0000 0.0000 1.9830 3.4346 0.0000 1.9830 1.1449 7.0874" Properties=species:S:1:pos:R:3 pbc="T T T"
Hg 1.9830 1.1449 5.3845
Hg 1.9830 1.1449 1.7112
Ga 5.9490 3.4346 7.0715
Mg 3.9660 2.2898 3.5512
```

- final energy (eV for the cell shown) = -5.2
- formation energy (kcal/mol of atoms) = 0.047
- magnetic moment (μB per formula unit) = 0.000

=====

Material: MgGa2Hg
Method: DFT, GGA-PBE
State: relaxed

The structure in extended XYZ format:
```
8
Lattice="-0.4813 1.6688 -3.6620 -1.1546 -3.5903 -1.4844 -10.8000 1.2840 -0.2383" Properties=species:S:1:pos:R:3 pbc="T T T"
Mg -6.3863 -1.6336 -2.1479
Mg -0.8180 -0.9608 -2.5732
Ga -8.7204 0.2208 -2.1175
Ga -9.5245 -0.6968 -4.6729
Ga -3.1422 0.9051 -2.5118
Ga -3.4847 -1.7043 -1.4671
Hg -6.0496 0.9960 -3.2367
Hg 0.0000 0.0000 0.0000
```

- final energy (eV for the cell shown) = -16.0
- formation energy (kcal/mol of atoms) = -0.218
- magnetic moment (μB per formula unit) = 0.000

=====

Material: Mg4Ga2Hg5
Method: DFT, GGA-PBE
State: relaxed

The structure in extended XYZ format:
```
11
Lattice="-1.9720 -4.0463 -2.2951 3.8523 -0.0020 -4.3212 8.8266 -2.1012 3.1221" Properties=species:S:1:pos:R:3 pbc="T T T"
Mg 1.5082 -0.4226 -0.4692
Mg 9.1988 -5.7269 -3.0250
Mg 6.0252 -2.6476 0.1010
Mg 4.6818 -3.5018 -3.5951
Hg 7.0703 -1.9708 -2.8377
Hg 4.1500 -0.9968 -1.8297
Hg -0.9860 -2.0231 -1.1475
Hg 3.6366 -4.1787 -0.6565
Hg 6.5570 -5.1527 -1.6644
Ga 8.8631 -3.5317 -1.0457
Ga 1.8439 -2.6177 -2.4485
```

- final energy (eV for the cell shown) = -15.2
- formation energy (kcal/mol of atoms) = -2.591
- magnetic moment (μB per formula unit) = 0.000

=====

Material: MgGa4Hg
Method: DFT, GGA-PBE
State: relaxed

The structure in extended XYZ format:
```
6
Lattice="-3.1530 4.3212 -1.6216 -5.1016 -0.8958 -2.1011 -4.5280 1.4198 2.9539" Properties=species:S:1:pos:R:3 pbc="T T T"
Mg -3.1957 1.2113 -0.1922
Ga -7.9848 3.0266 -0.4803
Ga -6.4126 0.8719 0.3284
Ga -5.4409 3.4733 0.5674
Ga -5.7269 2.3186 -1.9532
Hg 0.0000 0.0000 0.0000
```

- final energy (eV for the cell shown) = -13.9
- formation energy (kcal/mol of atoms) = 0.334
- magnetic moment (μB per formula unit) = 0.000

=====

Material: Mg3GaHg
Method: DFT, GGA-PBE
State: relaxed

The structure in extended XYZ format:
```
5
Lattice="5.2108 0.0000 0.0000 0.0000 5.2108 0.0000 0.0000 0.0000 5.2108" Properties=species:S:1:pos:R:3 pbc="T T T"
Hg 0.0000 0.0000 0.0000
Mg 2.6054 0.0000 0.0000
Mg 0.0000 2.6054 0.0000
Mg 0.0000 0.0000 2.6054
Ga 2.6054 2.6054 2.6054
```

- final energy (eV for the cell shown) = -7.1
- formation energy (kcal/mol of atoms) = 4.797
- magnetic moment (μB per formula unit) = 0.000

=====

Material: MgGa2Hg
Method: DFT, GGA-PBE
State: relaxed

The structure in extended XYZ format:
```
4
Lattice="-1.5800 3.9291 -2.6463 -2.2923 -0.6991 -4.3811 -4.6569 0.9256 -0.5570" Properties=species:S:1:pos:R:3 pbc="T T T"
Hg -4.2754 2.0773 -3.7865
Ga -2.1566 1.0378 -1.8832
Ga -4.6366 0.9265 -0.5678
Mg -6.3822 3.1174 -5.6961
```

- final energy (eV for the cell shown) = -8.0
- formation energy (kcal/mol of atoms) = -0.253
- magnetic moment (μB per formula unit) = 0.000

=====

Material: MgGaHg6
Method: DFT, GGA-PBE
State: relaxed

The structure in extended XYZ format:
```
8
Lattice="-4.4344 -3.6021 -1.6173 3.8608 -4.8320 1.1334 0.1028 -3.0299 5.5088" Properties=species:S:1:pos:R:3 pbc="T T T"
Hg -3.2400 -4.5919 2.1841
Hg -1.6734 -4.8662 -0.5297
Hg 0.6929 -4.8682 3.3607
Hg 1.2668 -3.8921 0.3231
Hg -0.9293 -2.3691 1.9819
Hg -0.9993 -6.9218 1.9397
Ga 0.0838 -0.1661 0.1404
Mg -2.1367 -1.9608 -0.6737
```

- final energy (eV for the cell shown) = -6.4
- formation energy (kcal/mol of atoms) = 0.035
- magnetic moment (μB per formula unit) = 0.000

=====

Material: MgGaHg2
Method: DFT, GGA-PBE
State: relaxed

The structure in extended XYZ format:
```
8
Lattice="-3.4636 -1.4546 6.8681 -3.2501 -6.4561 -3.0064 -0.8928 -5.6112 2.8228" Properties=species:S:1:pos:R:3 pbc="T T T"
Hg -2.6572 -5.6070 -0.3749
Hg -2.8245 -3.1317 4.6825
Hg -3.1588 -7.1184 3.5915
Hg -6.5726 -11.1867 5.4697
Mg -3.3569 -3.9554 1.9308
Mg -3.7499 -8.0113 0.8736
Ga 0.0000 0.0000 0.0000
Ga -3.8567 -5.5106 5.8109
```

- final energy (eV for the cell shown) = -10.4
- formation energy (kcal/mol of atoms) = 0.008
- magnetic moment (μB per formula unit) = 0.000

=====

Material: Mg3Ga3Hg
Method: DFT, GGA-PBE
State: relaxed

The structure in extended XYZ format:
```
14
Lattice="4.9858 0.0000 0.0000 0.0000 6.9731 -4.0259 0.0000 0.0000 8.0518" Properties=species:S:1:pos:R:3 pbc="T T T"
Ga 3.7394 5.4192 4.6103
Ga 3.7394 1.2831 1.0535
Ga 1.2465 6.7023 -2.3880
Ga 1.2465 1.5539 -0.5844
Ga 1.2465 5.6900 2.9724
Ga 3.7394 0.2708 6.4139
Mg 3.7394 3.1812 -1.1017
Mg 1.2465 3.7918 5.1276
Mg 1.2465 0.6365 4.7459
Mg 1.2465 2.5447 2.2042
Mg 3.7394 6.3365 -0.7200
Mg 3.7394 4.4284 1.8217
Hg 3.7394 2.3244 4.0259
Hg 1.2465 4.6487 0.0000
```

- final energy (eV for the cell shown) = -29.9
- formation energy (kcal/mol of atoms) = -2.612
- magnetic moment (μB per formula unit) = 0.000

=====

Material: Mg3GaHg
Method: DFT, GGA-PBE
State: relaxed

The structure in extended XYZ format:
```
5
Lattice="-2.4856 -4.3570 -0.8372 1.3842 0.1502 -4.8912 4.2152 -2.6185 1.1125" Properties=species:S:1:pos:R:3 pbc="T T T"
Hg 1.5569 -3.4127 -2.3079
Mg 0.6921 0.0751 -2.4456
Mg -1.2428 -2.1785 -0.4186
Mg 2.1076 -1.3093 0.5563
Ga 0.0000 0.0000 0.0000
```

- final energy (eV for the cell shown) = -7.8
- formation energy (kcal/mol of atoms) = 1.520
- magnetic moment (μB per formula unit) = 0.000

=====

Material: Mg5GaHg4
Method: DFT, GGA-PBE
State: relaxed

The structure in extended XYZ format:
```
10
Lattice="3.5244 0.0000 0.0000 0.0000 3.5244 0.0000 0.0000 0.0000 16.9179" Properties=species:S:1:pos:R:3 pbc="T T T"
Hg 0.0000 0.0000 6.7524
Hg 0.0000 0.0000 3.3199
Hg 0.0000 0.0000 10.1655
Hg 0.0000 0.0000 13.5980
Mg 1.7622 1.7622 15.2910
Mg 1.7622 1.7622 11.8684
Mg 1.7622 1.7622 5.0495
Mg 1.7622 1.7622 1.6269
Mg 1.7622 1.7622 8.4590
Ga 0.0000 0.0000 0.0000
```

- final energy (eV for the cell shown) = -14.2
- formation energy (kcal/mol of atoms) = -4.625
- magnetic moment (μB per formula unit) = 0.000

=====

Material: MgGaHg2
Method: DFT, GGA-PBE
State: relaxed

The structure in extended XYZ format:
```
4
Lattice="-0.5232 1.0193 3.6072 -4.2747 -2.2716 0.0219 2.1709 -4.0711 1.4653" Properties=species:S:1:pos:R:3 pbc="T T T"
Hg 1.0854 -2.0355 0.7326
Hg -2.1373 -1.1358 0.0109
Mg -1.3135 -2.6617 2.5471
Ga -0.2616 0.5096 1.8036
```

- final energy (eV for the cell shown) = -5.5
- formation energy (kcal/mol of atoms) = -1.522
- magnetic moment (μB per formula unit) = 0.000

=====

Material: MgGaHg2
Method: DFT, GGA-PBE
State: relaxed

The structure in extended XYZ format:
```
8
Lattice="3.4317 0.0000 0.0000 0.0000 5.8972 -2.7311 0.0000 -1.3146 9.5506" Properties=species:S:1:pos:R:3 pbc="T T T"
Hg 2.5738 2.1113 1.9798
Hg 0.8579 2.4712 4.8397
Hg 2.5738 5.0551 -1.7775
Hg 0.8579 -0.4726 8.5971
Ga 2.5738 -0.0229 3.9099
Ga 0.8579 4.6054 2.9096
Mg 2.5738 1.0021 6.7578
Mg 0.8579 3.5805 0.0617
```

- final energy (eV for the cell shown) = -10.9
- formation energy (kcal/mol of atoms) = -1.381
- magnetic moment (μB per formula unit) = 0.000

=====

Material: MgGaHg2
Method: DFT, GGA-PBE
State: relaxed

The structure in extended XYZ format:
```
4
Lattice="-2.6335 -2.2128 0.9975 2.3142 -2.7330 0.0471 1.3895 1.2890 6.5281" Properties=species:S:1:pos:R:3 pbc="T T T"
Hg 0.3408 0.3162 1.6014
Hg 1.0486 0.9728 4.9267
Ga 0.5351 -1.8284 3.7863
Mg -0.1597 -2.4729 0.5223
```

- final energy (eV for the cell shown) = -5.5
- formation energy (kcal/mol of atoms) = -1.411
- magnetic moment (μB per formula unit) = 0.000